# 1
8
Lattice="3.736 0.000 0.000 0.000 5.537 0.000 0.000 0.000 10.065" Properties=species:S:1:pos:R:3 comment="Tl2ZnCd PBE relaxed" e_form_ev_per_fu=0.56 total_magnetization_mub_per_cell=0.00 spacegroup="No. 71" relative_energy_mev_per_atom=60 dos_at_fermi_per_ev_cell=3.2 pbc="T T T"
Tl 0.000 0.000 2.307
Tl 0.000 0.000 7.757
Tl 1.868 2.769 2.725
Tl 1.868 2.769 7.339
Zn 0.000 2.769 5.032
Zn 1.868 0.000 0.000
Cd 0.000 2.769 0.000
Cd 1.868 0.000 5.032

---

# 2
4
Lattice="4.593 0.000 0.000 0.000 4.679 0.000 0.000 0.000 4.798" Properties=species:S:1:pos:R:3 comment="Tl2ZnCd PBE relaxed" e_form_ev_per_fu=0.53 total_magnetization_mub_per_cell=0.00 spacegroup="No. 47" relative_energy_mev_per_atom=52 dos_at_fermi_per_ev_cell=1.4 pbc="T T T"
Tl 0.000 0.000 0.000
Tl 0.000 2.340 2.399
Zn 2.297 0.000 2.399
Cd 2.297 2.340 0.000

---

# 3
13
Lattice="4.325 2.497 6.426 -4.325 2.497 6.426 0.000 -4.994 6.426" Properties=species:S:1:pos:R:3 comment="Zr5Tl2Cd6 PBE relaxed" e_form_ev_per_fu=12.54 total_magnetization_mub_per_cell=0.94 spacegroup="No. 166" dos_at_fermi_per_ev_cell=13.4 pbc="T T T"
Zr 0.000 0.000 0.000
Zr 0.000 0.000 5.654
Zr 0.000 0.000 8.328
Zr 0.000 0.000 10.949
Zr 0.000 0.000 13.624
Tl 0.000 0.000 2.772
Tl 0.000 0.000 16.506
Cd -1.421 -2.462 9.639
Cd -2.842 0.000 9.639
Cd 1.421 -2.462 9.639
Cd -1.421 2.462 9.639
Cd 2.842 0.000 9.639
Cd 1.421 2.462 9.639

---

# 4
16
Lattice="7.218 0.000 0.000 0.000 7.218 0.000 0.000 0.000 7.218" Properties=species:S:1:pos:R:3 comment="ZrTlCd2 PBE relaxed" e_form_ev_per_fu=1.02 total_magnetization_mub_per_cell=0.00 spacegroup="No. 225" relative_energy_mev_per_atom=350 dos_at_fermi_per_ev_cell=23.2 pbc="T T T"
Zr 0.000 0.000 0.000
Zr 0.000 3.609 3.609
Zr 3.609 0.000 3.609
Zr 3.609 3.609 0.000
Tl 0.000 0.000 3.609
Tl 0.000 3.609 0.000
Tl 3.609 0.000 0.000
Tl 3.609 3.609 3.609
Cd 1.804 1.804 1.804
Cd 1.804 1.804 5.413
Cd 1.804 5.413 1.804
Cd 1.804 5.413 5.413
Cd 5.413 1.804 1.804
Cd 5.413 1.804 5.413
Cd 5.413 5.413 1.804
Cd 5.413 5.413 5.413

---

# 5
4
Lattice="3.250 0.000 0.000 0.000 4.840 0.000 -0.444 0.000 6.231" Properties=species:S:1:pos:R:3 comment="ZrTl2Cd PBE relaxed" e_form_ev_per_fu=0.47 total_magnetization_mub_per_cell=0.00 spacegroup="No. 10" relative_energy_mev_per_atom=121 dos_at_fermi_per_ev_cell=2.4 pbc="T T T"
Zr 0.000 0.000 0.000
Tl 0.750 2.420 4.734
Tl 2.056 2.420 1.497
Cd 1.403 0.000 3.115

---

# 6
8
Lattice="11.618 0.000 0.000 0.000 3.071 0.000 -2.685 0.000 5.195" Properties=species:S:1:pos:R:3 comment="ZrTlCd2 PBE relaxed" e_form_ev_per_fu=0.04 total_magnetization_mub_per_cell=0.00 spacegroup="No. 8" relative_energy_mev_per_atom=106 dos_at_fermi_per_ev_cell=5.8 pbc="T T T"
Zr 0.000 0.000 0.000
Zr 5.809 1.535 0.000
Tl 0.372 0.000 4.924
Tl 6.180 1.535 4.924
Cd 1.645 1.535 2.277
Cd 4.395 0.000 2.606
Cd 7.454 0.000 2.277
Cd 10.204 1.535 2.606